The following is a DFT calculation (GGA-PBE) of crystalline SrCaW2 at its relaxed geometry.

Cell and atoms, written as extended XYZ:
```
4
Lattice="4.022 0.000 0.000 0.000 4.022 0.000 0.000 0.000 5.365" Properties=species:S:1:pos:R:3 pbc="T T T"
Ca 2.011 0.000 2.682
W 0.000 0.000 0.000
W 2.011 2.011 0.000
Sr 0.000 2.011 2.682
```

- calculated density (g cm⁻³) = 9.5
- ΔH_f (0 K) (eV/f.u.) = 4.76
- ΔE to the lowest computed polymorph (eV/atom) = 0.6129